Compound: LiIrS2
Source: the Alexandria database
Functional: PBE
Structure: optimized geometry

Geometry as POSCAR:
```
LiIrS2
1.0
3.661 0.000 0.000
-1.831 3.171 0.000
0.000 0.000 20.629
Li Ir S
3 3 6
Direct
0.000 0.000 0.000 Li
0.333 0.667 0.667 Li
0.667 0.333 0.333 Li
0.000 0.000 0.500 Ir
0.333 0.667 0.167 Ir
0.667 0.333 0.833 Ir
0.000 0.000 0.111 S
0.000 0.000 0.889 S
0.333 0.667 0.555 S
0.333 0.667 0.778 S
0.667 0.333 0.222 S
0.667 0.333 0.445 S
```

**Crystal system**: trigonal
**Uncorrected energy**: -21.3 eV per formula unit
**Magnetic moment**: 0.00 μB per cell